Computed, not measured: crystalline Ce2ZrAs3Rh4 at its relaxed geometry at the PBE-GGA level of DFT.

Unit cell a=4.112 b=4.112 c=11.150 alpha=90.00 beta=90.00 gamma=90.00
Atoms (fractional coordinates):
As 0.500 0.000 0.868
Ce 0.000 0.500 0.771
As 0.000 0.500 0.132
Rh 0.000 0.000 0.000
Rh 0.500 0.000 0.649
Zr 0.500 0.500 0.500
Rh 0.000 0.500 0.351
Rh 0.500 0.500 0.000
As 0.000 0.000 0.500
Ce 0.500 0.000 0.229

Values from the calculation:
ΔE_f: -945 meV/atom